(1)
Compound: Rb4ZnCdSn2
Source: OQMD via LeMat-Bulk
Functional: PBE
Structure: relaxed

```
Rb4ZnCdSn2
1.0
-6.535 1.975 -2.210
-1.056 -4.351 5.608
0.297 5.323 4.100
Rb Cd Sn Zn
4 1 2 1
Cartesian
-6.474 4.540 2.695
-2.871 0.380 7.836
-0.820 -1.593 4.802
-4.423 2.567 -0.338
-3.795 -1.188 1.699
-5.460 2.138 5.557
-1.834 0.809 1.940
-3.647 1.474 3.749
```

Space group: C2/m (12)

(2)
Compound: RbCdTe
Source: OQMD via LeMat-Bulk
Functional: PBE
Structure: relaxed

```
RbCdTe
1.0
2.832 1.635 4.625
-2.832 1.635 4.625
0.000 -3.271 4.625
Te Cd Rb
1 1 1
Cartesian
0.000 0.000 0.000
0.000 0.000 3.469
0.000 0.000 10.407
```

Energy above the lowest structure with this stoichiometry: 0.000 eV/atom
Space group: F-43m (216)

(3)
Compound: RbCdTe
Source: OQMD via LeMat-Bulk
Functional: PBE
Structure: relaxed

```
RbCdTe
1.0
0.000 4.030 4.030
4.030 0.000 4.030
4.030 4.030 0.000
Te Cd Rb
1 1 1
Cartesian
6.045 6.045 6.045
2.015 2.015 2.015
0.000 0.000 0.000
```

Energy above the lowest structure with this stoichiometry: 0.288 eV/atom
Space group: F-43m (216)

Number 1: E_tot -0.14276 Ry per atom. Number 2: E_tot -0.15071 Ry per atom. Number 3: E_tot -0.12952 Ry per atom.